Record 1
A geometry-optimized Sr3SnN structure, computed with PBE-GGA.

## Properties
The value obtained for the formation energy (no corrections) is -0.6329 eV per atom. Its space-group type is Cmmm. Its volume is 28.95 Å³ per atom.

abc: 8.151 8.151 5.356
angles: 90.00 90.00 125.57
Fractional coordinates of all 10 atoms:
Sr 0.000 0.500 0.500
Sr 0.145 0.855 0.000
Sr 0.243 0.243 0.500
Sr 0.500 0.000 0.500
Sr 0.757 0.757 0.500
Sr 0.855 0.145 0.000
Sn 0.387 0.613 0.000
Sn 0.613 0.387 0.000
N 0.126 0.874 0.500
N 0.874 0.126 0.500

=====

Record 2
A geometry-optimized AcCdGaGe structure, computed with PBE-GGA.

## Properties
Its space-group type is F-43m. Its volume is 25.25 Å³ per atom. The value obtained for the formation energy is -0.28 eV/atom.

abc: 5.227 5.227 5.227
angles: 60.00 60.00 60.00
Fractional coordinates of all 4 atoms:
Ac 0.000 0.000 0.000
Cd 0.500 0.500 0.500
Ga 0.750 0.750 0.750
Ge 0.250 0.250 0.250